The following is a PBE-GGA calculation of crystalline Ba2In5Bi4 at its relaxed geometry, from Alexandria.

Cell lengths 6.535, 8.368, 8.362 Å; angles 81.77, 67.00, 67.02 degrees
Element x y z (fractional)
Bi1 0.719 0.924 0.638
Bi2 0.281 0.363 0.076
Bi3 0.281 0.076 0.362
Bi4 0.719 0.637 0.924
In1 0.766 0.755 0.246
In2 0.234 0.245 0.754
In3 0.234 0.755 0.246
In4 0.000 0.500 0.500
In5 0.766 0.245 0.754
Ba1 0.727 0.273 0.272
Ba2 0.273 0.727 0.728

Summary:
ΔH_f (0 K)   -0.248 eV per atom

---

The following is a PBE-GGA calculation of crystalline Tb2Pm6SmTm3 at its relaxed geometry, from Alexandria.

Cell lengths 6.236, 6.236, 11.821 Å; angles 95.03, 95.03, 119.99 degrees
Element x y z (fractional)
Tm1 0.500 0.500 0.500
Tm2 0.833 0.167 0.500
Tm3 0.167 0.833 0.500
Tb1 0.333 0.667 0.000
Tb2 0.667 0.333 0.000
Pm1 0.915 0.582 0.747
Pm2 0.249 0.249 0.747
Pm3 0.751 0.751 0.253
Pm4 0.085 0.418 0.253
Pm5 0.418 0.085 0.253
Pm6 0.582 0.915 0.747
Sm1 0.000 0.000 0.000

Summary:
ΔH_f (0 K)   0.015 eV per atom

---

The following is a PBE-GGA calculation of crystalline CoSiAu3 at its relaxed geometry, from Alexandria.

Cell lengths 4.697, 4.697, 4.697 Å; angles 90.00, 90.00, 90.00 degrees
Each line ends with the local moment (μB).
Element x y z (fractional)
Au1 0.500 0.000 0.000  0.01
Au2 0.000 0.000 0.500  0.03
Au3 0.000 0.500 0.000  0.01
Si1 0.000 0.000 0.000  0.04
Co1 0.500 0.500 0.500  2.05

Summary:
E_form (uncorrected)   69.9 kJ/mol of atoms
Offset from the most stable computed form   0 meV per atom

---

The following is a PBE-GGA calculation of crystalline Pa3TeI7 at its relaxed geometry, from Alexandria.

Cell lengths 8.385, 8.384, 8.963 Å; angles 77.10, 62.11, 59.99 degrees
Each line ends with the local moment (μB).
Element x y z (fractional)
Te1 0.792 0.589 0.827  -0.04
I1 0.851 0.923 0.374  -0.02
I2 0.852 0.413 0.373  -0.02
I3 0.772 0.093 0.855  -0.03
I4 0.362 0.413 0.373  -0.02
I5 0.280 0.093 0.855  -0.03
I6 0.377 0.915 0.331  -0.03
I7 0.280 0.585 0.856  -0.03
Pa1 0.078 0.237 0.608  1.59
Pa2 0.078 0.761 0.608  1.59
Pa3 0.553 0.761 0.608  1.59

Summary:
E_form (uncorrected)   -80.3 kJ/mol of atoms

---

The following is a PBE-GGA calculation of crystalline Na2PuSnTe4 at its relaxed geometry, from Alexandria.

Cell lengths 4.467, 7.881, 7.869 Å; angles 109.07, 90.00, 90.00 degrees
Each line ends with the local moment (μB).
Element x y z (fractional)
Sn1 0.000 0.000 0.000  -0.02
Te1 0.000 0.259 0.769  -0.12
Te2 0.000 0.741 0.231  -0.12
Te3 0.500 0.251 0.232  -0.09
Te4 0.500 0.749 0.768  -0.09
Na1 0.000 0.500 0.500  0.00
Na2 0.500 0.000 0.500  0.00
Pu1 0.500 0.500 0.000  5.04

Summary:
E_form (uncorrected)   -73.0 kJ/mol of atoms

---

The following is a PBE-GGA calculation of crystalline GdLuAu at its relaxed geometry, from Alexandria.

Cell lengths 3.857, 4.863, 4.863 Å; angles 120.00, 90.00, 90.00 degrees
Each line ends with the local moment (μB).
Element x y z (fractional)
Au1 0.276 0.333 0.667  0.00
Gd1 0.621 0.667 0.333  7.04
Lu1 0.103 0.000 0.000  0.01

Summary:
ΔH_f (0 K)   -0.425 eV per atom
Offset from the most stable computed form   140 meV per atom

---

The following is a PBE-GGA calculation of crystalline Dy12Tm7Sc at its relaxed geometry, from Alexandria.

Cell lengths 9.172, 9.172, 9.172 Å; angles 108.07, 108.07, 108.07 degrees
Element x y z (fractional)
Tm1 0.678 0.002 0.116
Tm2 0.884 0.322 0.998
Tm3 0.116 0.678 0.002
Tm4 0.002 0.116 0.678
Tm5 0.500 0.500 0.500
Tm6 0.322 0.998 0.884
Tm7 0.998 0.884 0.322
Sc1 0.000 0.000 0.000
Dy1 0.691 0.423 0.219
Dy2 0.289 0.378 0.057
Dy3 0.309 0.577 0.781
Dy4 0.622 0.943 0.711
Dy5 0.057 0.289 0.378
Dy6 0.219 0.691 0.423
Dy7 0.378 0.057 0.289
Dy8 0.577 0.781 0.309
Dy9 0.781 0.309 0.577
Dy10 0.423 0.219 0.691
Dy11 0.711 0.622 0.943
Dy12 0.943 0.711 0.622

Summary:
ΔH_f (0 K)   0.184 eV per atom
Offset from the most stable computed form   0 meV per atom

---

The following is a PBE-GGA calculation of crystalline KBa2HgPt at its relaxed geometry, from Alexandria.

Cell lengths 6.117, 6.117, 6.140 Å; angles 90.00, 90.00, 90.00 degrees
Element x y z (fractional)
Hg1 0.500 0.500 0.500
Ba1 0.000 0.500 0.000
Ba2 0.500 0.000 0.000
K1 0.000 0.000 0.500
Pt1 0.000 0.000 0.000

Summary:
ΔH_f (0 K)   -0.312 eV per atom
Offset from the most stable computed form   31 meV per atom

---

The following is a PBE-GGA calculation of crystalline LiPmNdEr at its relaxed geometry, from Alexandria.

Cell lengths 5.566, 5.566, 5.566 Å; angles 60.00, 60.00, 60.00 degrees
Element x y z (fractional)
Pm1 0.250 0.250 0.250
Nd1 0.750 0.750 0.750
Er1 0.500 0.500 0.500
Li1 0.000 0.000 0.000

Summary:
ΔH_f (0 K)   0.154 eV per atom

---

The following is a PBE-GGA calculation of crystalline ThRhS at its relaxed geometry, from Alexandria.

Cell lengths 3.772, 4.222, 4.222 Å; angles 120.00, 90.00, 90.00 degrees
Element x y z (fractional)
Th1 0.667 0.667 0.333
Rh1 0.166 0.333 0.667
S1 0.167 0.000 0.000

Summary:
E_form (uncorrected)   -126.2 kJ/mol of atoms
Offset from the most stable computed form   0 meV per atom

---

The following is a PBE-GGA calculation of crystalline OsAuO2 at its relaxed geometry, from Alexandria.

Cell lengths 5.978, 5.978, 5.932 Å; angles 59.74, 59.74, 90.00 degrees
Element x y z (fractional)
Os1 0.500 0.500 0.000
Os2 0.250 0.750 0.500
Au1 0.000 0.000 0.000
Au2 0.750 0.250 0.500
O1 0.437 0.125 0.250
O2 0.313 0.625 0.250
O3 0.875 0.687 0.750
O4 0.375 0.563 0.750

Summary:
E_form (uncorrected)   19.8 kJ/mol of atoms
Offset from the most stable computed form   532 meV per atom

---

The following is a PBE-GGA calculation of crystalline Re3SiSn at its relaxed geometry, from Alexandria.

Cell lengths 4.861, 4.861, 4.861 Å; angles 90.00, 90.00, 90.00 degrees
Each line ends with the local moment (μB).
Element x y z (fractional)
Sn1 0.000 0.000 0.000  -0.01
Re1 0.500 0.000 0.000  0.86
Re2 0.000 0.000 0.500  1.09
Re3 0.000 0.500 0.000  0.91
Si1 0.500 0.500 0.500  0.01

Summary:
E_form (uncorrected)   289.0 kJ/mol of atoms

---

The following is a PBE-GGA calculation of crystalline Cs2Tl5Bi2 at its relaxed geometry, from Alexandria.

Cell lengths 9.412, 9.254, 11.231 Å; angles 114.33, 114.77, 90.00 degrees
Element x y z (fractional)
Tl1 0.086 0.821 0.500
Tl2 0.914 0.321 0.500
Tl3 0.760 0.534 0.320
Tl4 0.060 0.034 0.320
Tl5 0.940 0.714 0.680
Tl6 0.957 0.281 0.159
Tl7 0.702 0.781 0.159
Tl8 0.240 0.214 0.680
Tl9 0.298 0.623 0.841
Tl10 0.043 0.123 0.841
Cs1 0.722 0.417 0.778
Cs2 0.278 0.639 0.222
Cs3 0.556 0.917 0.778
Cs4 0.444 0.139 0.222
Bi1 0.741 0.920 0.500
Bi2 0.259 0.420 0.500
Bi3 0.000 0.886 0.000
Bi4 0.500 0.386 0.000

Summary:
ΔH_f (0 K)   -0.111 eV per atom

---

The following is a PBE-GGA calculation of crystalline RbScBe2 at its relaxed geometry, from Alexandria.

Cell lengths 7.919, 7.919, 6.567 Å; angles 52.92, 52.92, 90.00 degrees
Each line ends with the local moment (μB).
Element x y z (fractional)
Be1 0.567 0.125 0.250  0.07
Be2 0.183 0.625 0.250  0.06
Be3 0.375 0.433 0.750  0.07
Be4 0.875 0.817 0.750  0.07
Sc1 0.500 0.500 0.000  0.35
Sc2 0.250 0.750 0.500  0.34
Rb1 0.750 0.250 0.500  0.02
Rb2 0.000 0.000 0.000  0.02

Summary:
ΔH_f (0 K)   1.268 eV per atom
Offset from the most stable computed form   135 meV per atom

---

The following is a PBE-GGA calculation of crystalline Rb2CoI at its relaxed geometry, from Alexandria.

Cell lengths 6.248, 6.248, 6.248 Å; angles 60.00, 60.00, 60.00 degrees
Each line ends with the local moment (μB).
Element x y z (fractional)
Co1 0.000 0.000 0.000  1.99
I1 0.500 0.500 0.500  0.00
Rb1 0.250 0.250 0.250  -0.01
Rb2 0.750 0.750 0.750  -0.01

Summary:
E_form (uncorrected)   4.9 kJ/mol of atoms
Offset from the most stable computed form   0 meV per atom

---

The following is a PBE-GGA calculation of crystalline SiCl2O at its relaxed geometry, from Alexandria.

Cell lengths 6.585, 8.703, 8.750 Å; angles 76.05, 80.57, 73.36 degrees
Element x y z (fractional)
Si1 0.014 0.325 0.237
Si2 0.986 0.675 0.763
Si3 0.082 0.680 0.111
Si4 0.918 0.320 0.889
Cl1 0.147 0.148 0.793
Cl2 0.627 0.288 0.883
Cl3 0.759 0.318 0.401
Cl4 0.853 0.852 0.207
Cl5 0.732 0.860 0.688
Cl6 0.268 0.140 0.312
Cl7 0.373 0.712 0.117
Cl8 0.241 0.682 0.599
O1 0.073 0.499 0.214
O2 0.044 0.696 0.929
O3 0.927 0.501 0.786
O4 0.956 0.304 0.071

Summary:
E_form (uncorrected)   -175.4 kJ/mol of atoms
Offset from the most stable computed form   0 meV per atom

---

The following is a PBE-GGA calculation of crystalline CrPbS2 at its relaxed geometry, from Alexandria.

Cell lengths 7.673, 4.158, 6.703 Å; angles 110.78, 99.89, 105.85 degrees
Element x y z (fractional)
S1 0.062 0.032 0.802
S2 0.715 0.124 0.356
S3 0.130 0.784 0.284
S4 0.477 0.692 0.730
Pb1 0.766 0.405 0.837
Pb2 0.426 0.411 0.249
Cr1 0.013 0.530 0.497
Cr2 0.179 0.285 0.589

Summary:
E_form (uncorrected)   -37.4 kJ/mol of atoms

---

The following is a PBE-GGA calculation of crystalline CdCu4Pt5 at its relaxed geometry, from Alexandria.

Cell lengths 2.836, 2.836, 18.168 Å; angles 90.00, 90.00, 90.00 degrees
Element x y z (fractional)
Pt1 0.500 0.500 0.885
Pt2 0.500 0.500 0.115
Pt3 0.500 0.500 0.307
Pt4 0.500 0.500 0.500
Pt5 0.500 0.500 0.693
Cu1 0.000 0.000 0.596
Cu2 0.000 0.000 0.211
Cu3 0.000 0.000 0.404
Cu4 0.000 0.000 0.789
Cd1 0.000 0.000 0.000

Summary:
ΔH_f (0 K)   -0.167 eV per atom

---

The following is a PBE-GGA calculation of crystalline AgHPdRh2 at its relaxed geometry, from Alexandria.

Cell lengths 3.915, 3.915, 4.161 Å; angles 90.00, 90.00, 90.00 degrees
Element x y z (fractional)
Pd1 0.500 0.500 0.500
Rh1 0.000 0.500 0.000
Rh2 0.500 0.000 0.000
H1 0.000 0.000 0.000
Ag1 0.000 0.000 0.500

Summary:
Offset from the most stable computed form   30 meV per atom

---

The following is a PBE-GGA calculation of crystalline Ac4ErBi5 at its relaxed geometry, from Alexandria.

Cell lengths 6.815, 8.310, 8.309 Å; angles 80.31, 65.79, 65.79 degrees
Element x y z (fractional)
Ac1 0.200 0.205 0.395
Ac2 0.802 0.795 0.605
Ac3 0.406 0.396 0.795
Ac4 0.596 0.604 0.205
Bi1 0.714 0.190 0.383
Bi2 0.905 0.383 0.810
Bi3 0.288 0.810 0.617
Bi4 0.097 0.617 0.190
Bi5 0.501 0.000 0.000
Er1 0.001 0.000 0.000

Summary:
ΔH_f (0 K)   -0.936 eV per atom

---

Listing magnetization for the structures above in their given order: 0.00, 0.00, 2.10, 6.01, 4.39, 7.18, 0.00, 0.00, 0.00, 0.00, 0.00, 3.24, 0.00, 1.00, 2.00, 0.00, 0.00, 0.00, 0.00, 0.00 μB/f.u..